Crystalline LiAgPS2 at its relaxed geometry. Source: the Alexandria database, functional PBE.

The energy above the most stable polymorph in this dataset comes out at 59.9 meV per atom. The calculation puts the uncorrected formation energy at 0.62 eV/atom. As for the magnetic moment: 0.00 μB per formula unit.

It has space group P4/mmm (No. 123), with a = 4.564 Å, b = 4.564 Å, c = 4.292 Å, α = 90.00°, β = 90.00° and γ = 90.00°. Symmetry generates all atoms from Li at (0.000, 0.000, 0.000), Ag at (0.500, 0.500, 0.500), P at (0.000, 0.000, 0.500) and S at (0.000, 0.500, 0.000).



Crystalline LiAgPS2 at its relaxed geometry. Source: the Alexandria database, functional PBE.

The energy above the most stable polymorph in this dataset comes out at 0.0 meV per atom. The calculation puts the uncorrected formation energy at 0.56 eV/atom. As for the magnetic moment: 0.43 μB per formula unit.

It has space group P4/mmm (No. 123), with a = 5.013 Å, b = 5.013 Å, c = 4.674 Å, α = 90.00°, β = 90.00° and γ = 90.00°. Symmetry generates all atoms from Li at (0.000, 0.000, 0.000), Ag at (0.500, 0.500, 0.500), P at (0.500, 0.500, 0.000) and S at (0.000, 0.500, 0.500).



Crystalline LiAgSbP2 at its relaxed geometry. Source: the Alexandria database, functional PBE.

The calculation puts the uncorrected formation energy at 0.59 eV/atom. As for the magnetic moment: 0.00 μB per formula unit.

It has space group P4/mmm (No. 123), with a = 4.517 Å, b = 4.517 Å, c = 4.672 Å, α = 90.00°, β = 90.00° and γ = 90.00°. Symmetry generates all atoms from Li at (0.000, 0.000, 0.000), Ag at (0.000, 0.000, 0.500), Sb at (0.500, 0.500, 0.500) and P at (0.000, 0.500, 0.000).



Crystalline LiAg2SbP at its relaxed geometry. Source: the Alexandria database, functional PBE.

The calculation puts the uncorrected formation energy at 0.53 eV/atom. As for the magnetic moment: 0.00 μB per formula unit.

It has space group P4/mmm (No. 123), with a = 5.200 Å, b = 5.200 Å, c = 5.339 Å, α = 90.00°, β = 90.00° and γ = 90.00°. Symmetry generates all atoms from Li at (0.000, 0.000, 0.000), Ag at (0.000, 0.500, 0.500), Sb at (0.500, 0.500, 0.500) and P at (0.500, 0.500, 0.000).



Crystalline LiAgPSe4 at its relaxed geometry. Source: the Alexandria database, functional PBE.

The calculation puts the uncorrected formation energy at -0.24 eV/atom. As for the magnetic moment: 0.00 μB per formula unit.

It has space group Cmcm (No. 63), with a = 6.784 Å, b = 12.067 Å, c = 8.018 Å, α = 90.00°, β = 90.00° and γ = 90.00°. Symmetry generates all atoms from Li at (0.000, 0.000, 0.000), Ag at (0.000, 0.360, 0.250), P at (0.000, 0.346, 0.750), Se at (0.000, 0.236, 0.524) and Se at (0.247, 0.033, 0.250).



Crystalline LiAgSn2P at its relaxed geometry. Source: the Alexandria database, functional PBE.

The energy of formation from the pure elements is 317 meV/atom. As for the magnetic moment: 0.00 μB per formula unit.

It has space group P4/mmm (No. 123), with a = 5.468 Å, b = 5.468 Å, c = 4.650 Å, α = 90.00°, β = 90.00° and γ = 90.00°. Symmetry generates all atoms from Li at (0.000, 0.000, 0.000), Ag at (0.500, 0.500, 0.000), Sn at (0.000, 0.500, 0.500) and P at (0.500, 0.500, 0.500).



Crystalline Sr2LiAgP at its relaxed geometry. Source: the Alexandria database, functional PBE.

The energy of formation from the pure elements is -489 meV/atom. As for the magnetic moment: 0.00 μB per formula unit.

It has space group P4/mmm (No. 123), with a = 5.890 Å, b = 5.890 Å, c = 4.641 Å, α = 90.00°, β = 90.00° and γ = 90.00°. Symmetry generates all atoms from Sr at (0.000, 0.500, 0.000), Li at (0.000, 0.000, 0.500), Ag at (0.500, 0.500, 0.500) and P at (0.000, 0.000, 0.000).



Crystalline Li2TlAgP at its relaxed geometry. Source: the Alexandria database, functional PBE.

The energy of formation from the pure elements is -192 meV/atom. As for the magnetic moment: 0.00 μB per formula unit.

It has space group P4/mmm (No. 123), with a = 4.766 Å, b = 4.766 Å, c = 4.822 Å, α = 90.00°, β = 90.00° and γ = 90.00°. Symmetry generates all atoms from Li at (0.000, 0.500, 0.000), Tl at (0.000, 0.000, 0.500), Ag at (0.500, 0.500, 0.500) and P at (0.500, 0.500, 0.000).



Crystalline LiZrAgP2 at its relaxed geometry. Source: the Alexandria database, functional PBE.

The energy of formation from the pure elements is 516 meV/atom. As for the magnetic moment: 0.74 μB per formula unit.

It has space group P4/mmm (No. 123), with a = 4.976 Å, b = 4.976 Å, c = 5.369 Å, α = 90.00°, β = 90.00° and γ = 90.00°. Symmetry generates all atoms from Li at (0.000, 0.000, 0.000), Zr at (0.000, 0.000, 0.500), Ag at (0.500, 0.500, 0.000) and P at (0.000, 0.500, 0.500).



Crystalline LiZr2AgP at its relaxed geometry. Source: the Alexandria database, functional PBE.

The energy of formation from the pure elements is 11 meV/atom. As for the magnetic moment: 0.00 μB per formula unit.

It has space group P4/mmm (No. 123), with a = 4.943 Å, b = 4.943 Å, c = 4.700 Å, α = 90.00°, β = 90.00° and γ = 90.00°. Symmetry generates all atoms from Li at (0.000, 0.000, 0.000), Zr at (0.000, 0.500, 0.500), Ag at (0.500, 0.500, 0.000) and P at (0.500, 0.500, 0.500).



Crystalline LiPaAg at its relaxed geometry. Source: the Alexandria database, functional PBE.

The energy above the most stable polymorph in this dataset comes out at 160.3 meV per atom. The energy of formation from the pure elements is 253 meV/atom. As for the magnetic moment: 1.01 μB per formula unit.

It has space group P-6m2 (No. 187), with a = 4.9129 Å, b = 4.9129 Å, c = 2.9710 Å, α = 90.00°, β = 90.00° and γ = 120.00°. Symmetry generates all atoms from Li at (0.0000, 0.0000, 0.0000), Pa at (0.3333, 0.6667, 0.5000) and Ag at (0.6667, 0.3333, 0.0000).



Crystalline LiPaAg2 at its relaxed geometry. Source: the Alexandria database, functional PBE.

The energy above the most stable polymorph in this dataset comes out at 215.5 meV per atom. The energy of formation from the pure elements is 245 meV/atom. As for the magnetic moment: 0.99 μB per formula unit.

It has space group Fm-3m (No. 225), with a = 6.979 Å, b = 6.979 Å, c = 6.979 Å, α = 90.00°, β = 90.00° and γ = 90.00°. Symmetry generates all atoms from Li at (0.000, 0.000, 0.000), Pa at (0.000, 0.000, 0.500) and Ag at (0.250, 0.250, 0.250).